1.
## MnCuP2O8 (GGA-PBEsol)

Data for an optimized crystal structure of MnCuP2O8.

Structure (POSCAR):
```
MnCuP2O8
1.0
4.187 2.418 6.769
-4.187 2.418 6.769
0.000 -4.835 6.769
Mn Cu P O
3 3 6 24
Direct
0.000 0.000 0.000 Mn
0.219 0.219 0.219 Mn
0.500 0.500 0.500 Mn
0.358 0.358 0.358 Cu
0.719 0.719 0.719 Cu
0.859 0.859 0.859 Cu
0.112 0.822 0.397 P
0.320 0.612 0.900 P
0.397 0.112 0.822 P
0.612 0.900 0.320 P
0.822 0.397 0.112 P
0.900 0.320 0.612 P
0.056 0.852 0.232 O
0.108 0.276 0.454 O
0.122 0.787 0.901 O
0.196 0.975 0.345 O
0.232 0.056 0.852 O
0.274 0.616 0.422 O
0.276 0.454 0.108 O
0.345 0.196 0.975 O
0.359 0.549 0.735 O
0.422 0.274 0.616 O
0.454 0.108 0.276 O
0.480 0.659 0.884 O
0.549 0.735 0.359 O
0.591 0.942 0.825 O
0.616 0.422 0.274 O
0.659 0.884 0.480 O
0.735 0.359 0.549 O
0.787 0.901 0.122 O
0.825 0.591 0.942 O
0.852 0.232 0.056 O
0.884 0.480 0.659 O
0.901 0.122 0.787 O
0.942 0.825 0.591 O
0.975 0.345 0.196 O
```

Properties
Calculated density ... 3.74 Mg/m³
Total magnetization ... 12.01 μB/cell
V ... 11.421 A^3/atom

2.
## MnCuP2O8 (GGA-PBEsol)

Data for an optimized crystal structure of MnCuP2O8.

Structure (POSCAR):
```
MnCuP2O8
1.0
4.708 0.000 0.000
0.000 5.689 0.000
-0.266 0.000 9.605
Mn Cu P O
2 2 4 16
Direct
0.050 0.250 0.277 Mn
0.950 0.750 0.723 Mn
0.419 0.250 0.775 Cu
0.581 0.750 0.225 Cu
0.097 0.750 0.412 P
0.390 0.750 0.905 P
0.610 0.250 0.095 P
0.903 0.250 0.588 P
0.179 0.750 0.569 O
0.216 0.547 0.829 O
0.216 0.953 0.829 O
0.225 0.250 0.603 O
0.240 0.533 0.340 O
0.240 0.967 0.340 O
0.295 0.250 0.127 O
0.350 0.750 0.060 O
0.650 0.250 0.940 O
0.705 0.750 0.873 O
0.760 0.033 0.660 O
0.760 0.467 0.660 O
0.775 0.750 0.397 O
0.784 0.047 0.171 O
0.784 0.453 0.171 O
0.821 0.250 0.431 O
```

Properties
Calculated density ... 3.98 Mg/m³
Total magnetization ... 8.05 μB/cell
V ... 10.718 A^3/atom

Sorted by energy, starting with the most stable: 2, 1.